Here is an optimized crystal structure of KRuPt from the Alexandria database. Energies are from PBE-GGA.

a = 7.5978 Å, b = 7.5978 Å, c = 2.8506 Å
α = 79.19°, β = 79.19°, γ = 21.62°
Each line ends with the local moment (μB).
Sites, in units of the cell vectors:
K 0.9975 0.9975 0.0025  0.01
Pt 0.3097 0.3097 0.6903  0.03
Ru 0.6928 0.6928 0.3072  0.18

The electronic total energy comes out at -4.894 eV per atom. Its space group is I4mm. Its total magnetization is 0.3 μB per cell. As for the energy relative to the lowest polymorph listed for this composition: 212 meV/atom. For the density of states at the Fermi level, the calculation gives 4.54 states/eV/f.u. Its energy relative to the elements is 577 meV/atom.

=====

Here is an optimized crystal structure of K3RuPt from the Alexandria database. Energies are from PBE-GGA.

a = 6.1085 Å, b = 6.1085 Å, c = 6.1085 Å
α = 90.00°, β = 90.00°, γ = 90.00°
Each line ends with the local moment (μB).
Sites, in units of the cell vectors:
K 0.5000 0.0000 0.0000  0.00
K 0.0000 0.0000 0.5000  0.00
K 0.0000 0.5000 0.0000  0.00
Pt 0.0000 0.0000 0.0000  0.08
Ru 0.5000 0.5000 0.5000  2.56

The electronic total energy comes out at -2.673 eV per atom. Its space group is Pm-3m. Its total magnetization is 3.0 μB per cell. As for the energy relative to the lowest polymorph listed for this composition: 0 meV/atom. For the density of states at the Fermi level, the calculation gives 37.33 states/eV/f.u. Its energy relative to the elements is 1049 meV/atom.

=====

Here is an optimized crystal structure of K2RuPt from the Alexandria database. Energies are from PBE-GGA.

a = 4.0458 Å, b = 4.0458 Å, c = 5.3785 Å
α = 90.00°, β = 90.00°, γ = 90.00°
Each line ends with the local moment (μB).
Sites, in units of the cell vectors:
Ru 0.0000 0.5000 0.5000  1.69
K 0.5000 0.5000 0.0000  -0.01
K 0.0000 0.0000 0.0000  -0.01
Pt 0.5000 0.0000 0.5000  0.34

The electronic total energy comes out at -3.572 eV per atom. Its space group is P4/mmm. Its total magnetization is 2.0 μB per cell. As for the energy relative to the lowest polymorph listed for this composition: 417 meV/atom. For the density of states at the Fermi level, the calculation gives 3.09 states/eV/f.u. Its energy relative to the elements is 805 meV/atom.

=====

Here is an optimized crystal structure of K2RuPt from the Alexandria database. Energies are from PBE-GGA.

a = 6.0749 Å, b = 6.0749 Å, c = 2.8260 Å
α = 90.00°, β = 90.00°, γ = 124.07°
Each line ends with the local moment (μB).
Sites, in units of the cell vectors:
K 0.5000 0.5000 0.0000  -0.01
K 0.0000 0.0000 0.0000  -0.01
Pt 0.5000 0.0000 0.5000  0.16
Ru 0.0000 0.5000 0.5000  1.19

The electronic total energy comes out at -3.575 eV per atom. Its space group is Cmmm. Its total magnetization is 1.4 μB per cell. As for the energy relative to the lowest polymorph listed for this composition: 415 meV/atom. For the density of states at the Fermi level, the calculation gives 2.68 states/eV/f.u. Its energy relative to the elements is 803 meV/atom.

=====

Here is an optimized crystal structure of K2RuPt from the Alexandria database. Energies are from PBE-GGA.

a = 11.9587 Å, b = 11.9587 Å, c = 8.7926 Å
α = 47.15°, β = 47.15°, γ = 90.00°
Each line ends with the local moment (μB).
Sites, in units of the cell vectors:
Ru 0.2500 0.7500 0.5000  1.30
Ru 0.5000 0.5000 0.0000  1.30
K 0.7995 0.1250 0.2500  0.00
K 0.9505 0.6250 0.2500  0.00
K 0.8750 0.0495 0.7500  0.00
K 0.3750 0.2005 0.7500  0.00
Pt 0.0000 0.0000 0.0000  0.13
Pt 0.7500 0.2500 0.5000  0.13

The electronic total energy comes out at -3.595 eV per atom. Its space group is I-42d. Its total magnetization is 3.3 μB per cell. As for the energy relative to the lowest polymorph listed for this composition: 394 meV/atom. For the density of states at the Fermi level, the calculation gives 4.34 states/eV/f.u. Its energy relative to the elements is 782 meV/atom.

=====

Here is an optimized crystal structure of KRuPt from the Alexandria database. Energies are from PBE-GGA.

a = 4.6487 Å, b = 4.6487 Å, c = 4.6487 Å
α = 60.00°, β = 60.00°, γ = 60.00°
Each line ends with the local moment (μB).
Sites, in units of the cell vectors:
K 0.5000 0.5000 0.5000  0.00
Ru 0.0000 0.0000 0.0000  2.03
Pt 0.7500 0.7500 0.7500  0.47

The electronic total energy comes out at -4.267 eV per atom. Its space group is F-43m. Its total magnetization is 2.7 μB per cell. As for the energy relative to the lowest polymorph listed for this composition: 839 meV/atom. For the density of states at the Fermi level, the calculation gives 3.45 states/eV/f.u. Its energy relative to the elements is 1204 meV/atom.

=====

Here is an optimized crystal structure of KRuPt from the Alexandria database. Energies are from PBE-GGA.

a = 4.6550 Å, b = 4.6550 Å, c = 4.6550 Å
α = 60.00°, β = 60.00°, γ = 60.00°
Each line ends with the local moment (μB).
Sites, in units of the cell vectors:
K 0.7500 0.7500 0.7500  0.01
Ru 0.5000 0.5000 0.5000  2.18
Pt 0.0000 0.0000 0.0000  0.28

The electronic total energy comes out at -3.467 eV per atom. Its space group is F-43m. Its total magnetization is 2.6 μB per cell. As for the energy relative to the lowest polymorph listed for this composition: 1639 meV/atom. For the density of states at the Fermi level, the calculation gives 5.93 states/eV/f.u. Its energy relative to the elements is 2005 meV/atom.

=====

Here is an optimized crystal structure of KRuPt from the Alexandria database. Energies are from PBE-GGA.

a = 4.9458 Å, b = 4.9458 Å, c = 2.6824 Å
α = 90.00°, β = 90.00°, γ = 120.00°
Sites, in units of the cell vectors:
K 0.0000 0.0000 0.0000
Ru 0.3333 0.6667 0.4999
Pt 0.6667 0.3333 0.5002

The electronic total energy comes out at -4.578 eV per atom. Its space group is P-6m2. Its total magnetization is 0.0 μB per cell. As for the energy relative to the lowest polymorph listed for this composition: 528 meV/atom. For the density of states at the Fermi level, the calculation gives 3.14 states/eV/f.u. Its energy relative to the elements is 894 meV/atom.

=====

Here is an optimized crystal structure of K2RuPt from the Alexandria database. Energies are from PBE-GGA.

a = 5.5428 Å, b = 2.8265 Å, c = 5.1877 Å
α = 86.50°, β = 90.00°, γ = 90.00°
Each line ends with the local moment (μB).
Sites, in units of the cell vectors:
Pt 0.5000 0.2500 0.2500  0.06
Ru 0.5000 0.7500 0.7500  0.41
K 0.0000 0.0088 0.0028  0.00
K 0.0000 0.4912 0.4972  0.00

The electronic total energy comes out at -3.598 eV per atom. Its space group is P2/m. Its total magnetization is 0.5 μB per cell. As for the energy relative to the lowest polymorph listed for this composition: 392 meV/atom. For the density of states at the Fermi level, the calculation gives 3.60 states/eV/f.u. Its energy relative to the elements is 780 meV/atom.

=====

Here is an optimized crystal structure of K2RuPt from the Alexandria database. Energies are from PBE-GGA.

a = 5.2891 Å, b = 5.2891 Å, c = 5.2891 Å
α = 60.00°, β = 60.00°, γ = 60.00°
Each line ends with the local moment (μB).
Sites, in units of the cell vectors:
Pt 0.0000 0.0000 0.0000  0.16
K 0.7500 0.7500 0.7500  0.01
K 0.2500 0.2500 0.2500  0.01
Ru 0.5000 0.5000 0.5000  2.10

The electronic total energy comes out at -3.086 eV per atom. Its space group is Fm-3m. Its total magnetization is 2.5 μB per cell. As for the energy relative to the lowest polymorph listed for this composition: 904 meV/atom. For the density of states at the Fermi level, the calculation gives 10.81 states/eV/f.u. Its energy relative to the elements is 1292 meV/atom.

=====

Here is an optimized crystal structure of K2RuPt from the Alexandria database. Energies are from PBE-GGA.

a = 2.9117 Å, b = 4.0646 Å, c = 9.9573 Å
α = 90.00°, β = 90.00°, γ = 90.00°
Each line ends with the local moment (μB).
Sites, in units of the cell vectors:
Pt 0.0000 0.0000 0.5854  0.01
Ru 0.5000 0.5000 0.6606  0.22
K 0.5000 0.5000 0.3439  0.00
K 0.0000 0.0000 0.9102  0.00

The electronic total energy comes out at -3.990 eV per atom. Its space group is Pmm2. Its total magnetization is 0.2 μB per cell. As for the energy relative to the lowest polymorph listed for this composition: 0 meV/atom. For the density of states at the Fermi level, the calculation gives 3.68 states/eV/f.u. Its energy relative to the elements is 388 meV/atom.

=====

Here is an optimized crystal structure of KSb2RuPt from the Alexandria database. Energies are from PBE-GGA.

a = 5.5878 Å, b = 4.8637 Å, c = 5.5878 Å
α = 90.00°, β = 90.00°, γ = 90.00°
Each line ends with the local moment (μB).
Sites, in units of the cell vectors:
Pt 0.0000 0.5000 0.0000  0.01
K 0.0000 0.0000 0.0000  -0.01
Sb 0.0000 0.0000 0.5000  -0.06
Sb 0.5000 0.0000 0.0000  -0.04
Ru 0.5000 0.5000 0.5000  2.40

The electronic total energy comes out at -2.746 eV per atom. Its space group is P4/mmm. Its total magnetization is 2.4 μB per cell. For the density of states at the Fermi level, the calculation gives 7.94 states/eV/f.u. For the formation energy from raw total energies, the calculation gives 2.1860 eV/atom.